The following is a DFT calculation (PBE) of an optimized crystal structure of TmThGaAu.

Cell: 5.167 5.167 5.167 Å, 60.00 60.00 60.00°
Positions (direct):
Tm: 0.000 0.000 0.000
Th: 0.500 0.500 0.500
Ga: 0.250 0.250 0.250
Au: 0.750 0.750 0.750

Output
As for the polymorph energy (0 for the lowest one): 0.32 eV/f.u. Its space-group type is F-43m (216). The energy of formation from the pure elements is -0.549 eV per atom. As for the total magnetization: 0.7 μB per cell. The density of states at the Fermi level is 4.4 states/eV/f.u.

The following is a DFT calculation (PBE) of an optimized crystal structure of HfCr4Os.

Cell: 4.865 4.865 4.865 Å, 60.00 60.00 60.00°
Positions (direct):
Hf: 0.000 0.000 0.000
Cr: 0.374 0.374 0.374
Cr: 0.374 0.374 0.879
Cr: 0.374 0.879 0.374
Cr: 0.879 0.374 0.374
Os: 0.750 0.750 0.750

Output
Its space-group type is F-43m (216). The energy of formation from the pure elements is -0.016 eV per atom. As for the total magnetization: 0.0 μB per cell. The density of states at the Fermi level is 9.9 states/eV/f.u.

The following is a DFT calculation (PBE) of an optimized crystal structure of As4Os.

Cell: 4.794 4.794 4.794 Å, 90.00 90.00 90.00°
Positions (direct):
As: 0.000 0.000 0.000
As: 0.000 0.500 0.500
As: 0.500 0.000 0.500
As: 0.500 0.500 0.000
Os: 0.500 0.500 0.500

Output
As for the polymorph energy (0 for the lowest one): 0.61 eV/f.u. Its space-group type is Pm-3m (221). The energy of formation from the pure elements is 0.738 eV per atom. As for the total magnetization: 0.0 μB per cell. The density of states at the Fermi level is 2.4 states/eV/f.u.

Which formula does entry 3 have?
As4Os

Which value of total magnetization does entry 1 give?
0.7 μB per cell

Look up the total magnetization of the first one.
0.7 μB per cell